P.
The following is a DFT calculation (PBE) of KNaAsPt after structural relaxation.

Computed properties:
- Total magnetization: 0.66 μB/cell

a b c (Å): 5.706 7.309 9.492
angles (deg): 90.00 90.00 90.00
Space group Ama2 (No. 40)
Inequivalent atoms, fractional coordinates:
K (0.250, 0.157, 0.000) [4 per cell]
Na (0.250, 0.159, 0.648) [4 per cell]
As (0.250, 0.271, 0.328) [4 per cell]
Pt (0.000, 0.000, 0.318) [4 per cell]

---

Q.
The following is a DFT calculation (PBE) of KNaAsPt after structural relaxation.

Computed properties:
- Total magnetization: 0.08 μB/cell

a b c (Å): 5.924 5.669 6.139
angles (deg): 90.00 104.78 90.00
Space group P2_1/m (No. 11)
Inequivalent atoms, fractional coordinates:
K (0.033, 0.250, 0.166) [2 per cell]
Na (0.344, 0.750, 0.508) [2 per cell]
As (0.251, 0.250, 0.711) [2 per cell]
Pt (0.500, 0.000, 0.000) [2 per cell]

---

Quick ranking, most stable first: Q, P.

---

P.
The following is a DFT calculation (PBE) of KAsOsO after structural relaxation.

Computed properties:
- Total magnetization: 0.02 μB/cell

a b c (Å): 3.850 3.850 11.322
angles (deg): 90.00 90.00 90.00
Space group P4/nmm (No. 129, origin choice 2)
Inequivalent atoms, fractional coordinates:
K (0.250, 0.250, 0.150) [2 per cell]
As (0.250, 0.250, 0.640) [2 per cell]
Os (0.250, 0.750, 0.500) [2 per cell]
O (0.250, 0.750, 0.000) [2 per cell]

---

Q.
The following is a DFT calculation (PBE) of KAsOsO after structural relaxation.

Computed properties:
- Total magnetization: 0.00 μB/cell

a b c (Å): 3.708 7.821 5.709
angles (deg): 90.00 90.00 90.00
Space group Pmc2_1 (No. 26)
Inequivalent atoms, fractional coordinates:
K (0.000, 0.124, 0.000) [2 per cell]
As (0.000, 0.330, 0.504) [2 per cell]
Os (0.500, 0.465, 0.710) [2 per cell]
O (0.500, 0.331, 0.004) [2 per cell]

---

R.
The following is a DFT calculation (PBE) of KAsOsO after structural relaxation.

Computed properties:
- Total magnetization: 0.01 μB/cell

a b c (Å): 3.761 5.402 7.953
angles (deg): 90.00 90.00 90.00
Space group Pmc2_1 (No. 26)
Inequivalent atoms, fractional coordinates:
K (0.000, 0.171, 0.000) [2 per cell]
As (0.500, 0.323, 0.660) [2 per cell]
Os (0.500, 0.331, 0.350) [2 per cell]
O (0.000, 0.297, 0.344) [2 per cell]

---

Quick ranking, most stable first: Q, R, P.

---

P.
The following is a DFT calculation (PBE) of KPmAsO after structural relaxation.

Computed properties:
- Total magnetization: 0.00 μB/cell

a b c (Å): 4.550 6.695 5.910
angles (deg): 90.00 90.00 90.00
Space group Pmc2_1 (No. 26)
Inequivalent atoms, fractional coordinates:
K (0.000, 0.100, 0.000) [2 per cell]
Pm (0.500, 0.255, 0.502) [2 per cell]
As (0.000, 0.493, 0.266) [2 per cell]
O (0.500, 0.000, 0.252) [2 per cell]

---

Q.
The following is a DFT calculation (PBE) of KPmAsO after structural relaxation.

Computed properties:
- Total magnetization: 0.04 μB/cell

a b c (Å): 5.967 5.967 5.248
angles (deg): 90.00 90.00 90.00
Space group P4/nmm (No. 129, origin choice 2)
Inequivalent atoms, fractional coordinates:
K (0.250, 0.250, 0.002) [2 per cell]
Pm (0.250, 0.750, 0.500) [2 per cell]
As (0.250, 0.250, 0.502) [2 per cell]
O (0.250, 0.750, 0.000) [2 per cell]

---

R.
The following is a DFT calculation (PBE) of KPmAsO after structural relaxation.

Computed properties:
- Total magnetization: 0.00 μB/cell

a b c (Å): 3.581 8.012 7.753
angles (deg): 90.00 90.00 90.00
Space group Pmc2_1 (No. 26)
Inequivalent atoms, fractional coordinates:
K (0.000, 0.044, 0.000) [2 per cell]
Pm (0.500, 0.366, 0.352) [2 per cell]
As (0.500, 0.287, 0.726) [2 per cell]
O (0.000, 0.233, 0.276) [2 per cell]

---

Quick ranking, most stable first: P, R, Q.

---

P.
The following is a DFT calculation (PBE) of KPmAsO after structural relaxation.

Computed properties:
- Total magnetization: 0.13 μB/cell

a b c (Å): 4.203 4.203 5.280
angles (deg): 90.00 90.00 90.00
Space group P4/mmm (No. 123)
Inequivalent atoms, fractional coordinates:
K (0.000, 0.000, 0.000) [1 per cell]
Pm (0.500, 0.500, 0.500) [1 per cell]
As (0.000, 0.000, 0.500) [1 per cell]
O (0.500, 0.500, 0.000) [1 per cell]

---

Q.
The following is a DFT calculation (PBE) of KPmAsO after structural relaxation.

Computed properties:
- Total magnetization: 0.01 μB/cell

a b c (Å): 4.122 4.122 10.987
angles (deg): 90.00 90.00 90.00
Space group P4/nmm (No. 129, origin choice 2)
Inequivalent atoms, fractional coordinates:
K (0.250, 0.750, 0.000) [2 per cell]
Pm (0.250, 0.250, 0.400) [2 per cell]
As (0.250, 0.250, 0.774) [2 per cell]
O (0.250, 0.750, 0.500) [2 per cell]

---

Quick ranking, most stable first: Q, P.

---

P.
The following is a DFT calculation (PBE) of KPrAsO after structural relaxation.

Computed properties:
- Total magnetization: 0.86 μB/cell

a b c (Å): 6.040 6.040 5.364
angles (deg): 90.00 90.00 90.00
Space group P4/nmm (No. 129, origin choice 2)
Inequivalent atoms, fractional coordinates:
K (0.250, 0.250, 0.001) [2 per cell]
Pr (0.250, 0.750, 0.500) [2 per cell]
As (0.250, 0.250, 0.502) [2 per cell]
O (0.250, 0.750, 0.000) [2 per cell]

---

Q.
The following is a DFT calculation (PBE) of KPrAsO after structural relaxation.

Computed properties:
- Total magnetization: 0.00 μB/cell

a b c (Å): 3.637 8.203 7.625
angles (deg): 90.00 90.00 90.00
Space group Pmc2_1 (No. 26)
Inequivalent atoms, fractional coordinates:
K (0.000, 0.036, 0.000) [2 per cell]
Pr (0.500, 0.364, 0.345) [2 per cell]
As (0.500, 0.286, 0.731) [2 per cell]
O (0.000, 0.228, 0.273) [2 per cell]

---

Quick ranking, most stable first: Q, P.

---

P.
The following is a DFT calculation (PBE) of KPrAsO after structural relaxation.

Computed properties:
- Total magnetization: 0.01 μB/cell

a b c (Å): 4.175 4.175 11.076
angles (deg): 90.00 90.00 90.00
Space group P4mm (No. 99)
Inequivalent atoms, fractional coordinates:
K (0.000, 0.500, 0.000) [2 per cell]
Pr (0.000, 0.000, 0.400) [1 per cell]
Pr (0.500, 0.500, 0.606) [1 per cell]
As (0.000, 0.000, 0.778) [1 per cell]
As (0.500, 0.500, 0.223) [1 per cell]
O (0.000, 0.500, 0.502) [2 per cell]

---

Q.
The following is a DFT calculation (PBE) of KPrAsO after structural relaxation.

Computed properties:
- Total magnetization: 0.00 μB/cell

a b c (Å): 4.554 6.838 5.968
angles (deg): 90.00 90.00 90.00
Space group Pmc2_1 (No. 26)
Inequivalent atoms, fractional coordinates:
K (0.000, 0.104, 0.000) [2 per cell]
Pr (0.500, 0.256, 0.501) [2 per cell]
As (0.000, 0.496, 0.258) [2 per cell]
O (0.500, 0.001, 0.752) [2 per cell]

---

Quick ranking, most stable first: Q, P.

---

P.
The following is a DFT calculation (PBE) of KAsPtO after structural relaxation.

Computed properties:
- Total magnetization: 4.45 μB/cell

a b c (Å): 6.080 6.092 9.608
angles (deg): 90.00 90.00 90.00
Space group Cmme (No. 67)
Inequivalent atoms, fractional coordinates:
K (0.000, 0.250, 0.150) [4 per cell]
As (0.000, 0.250, 0.634) [4 per cell]
Pt (0.250, 0.000, 0.500) [4 per cell]
O (0.250, 0.000, 0.000) [4 per cell]

---

Q.
The following is a DFT calculation (PBE) of KAsPtO after structural relaxation.

Computed properties:
- Total magnetization: 0.10 μB/cell

a b c (Å): 3.553 7.620 6.187
angles (deg): 90.00 90.00 90.00
Space group Pmc2_1 (No. 26)
Inequivalent atoms, fractional coordinates:
K (0.000, 0.115, 0.000) [2 per cell]
As (0.000, 0.339, 0.454) [2 per cell]
Pt (0.500, 0.496, 0.671) [2 per cell]
O (0.500, 0.324, 0.924) [2 per cell]

---

Quick ranking, most stable first: Q, P.

---

P.
The following is a DFT calculation (PBE) of KReAsO after structural relaxation.

Computed properties:
- Total magnetization: 0.01 μB/cell

a b c (Å): 3.812 5.489 7.898
angles (deg): 90.00 90.00 90.00
Space group Pmc2_1 (No. 26)
Inequivalent atoms, fractional coordinates:
K (0.000, 0.177, 0.000) [2 per cell]
Re (0.500, 0.322, 0.355) [2 per cell]
As (0.500, 0.336, 0.663) [2 per cell]
O (0.000, 0.291, 0.349) [2 per cell]

---

Q.
The following is a DFT calculation (PBE) of KReAsO after structural relaxation.

Computed properties:
- Total magnetization: 0.88 μB/cell

a b c (Å): 3.583 3.583 9.798
angles (deg): 90.00 90.00 90.00
Space group P4/nmm (No. 129, origin choice 2)
Inequivalent atoms, fractional coordinates:
K (0.250, 0.750, 0.000) [2 per cell]
Re (0.250, 0.250, 0.372) [2 per cell]
As (0.250, 0.250, 0.744) [2 per cell]
O (0.250, 0.750, 0.500) [2 per cell]

---

R.
The following is a DFT calculation (PBE) of KReAsO after structural relaxation.

Computed properties:
- Total magnetization: 0.01 μB/cell

a b c (Å): 3.734 3.734 11.849
angles (deg): 90.00 90.00 90.00
Space group P4/nmm (No. 129, origin choice 2)
Inequivalent atoms, fractional coordinates:
K (0.250, 0.250, 0.148) [2 per cell]
Re (0.250, 0.750, 0.500) [2 per cell]
As (0.250, 0.250, 0.649) [2 per cell]
O (0.250, 0.750, 0.000) [2 per cell]

---

Quick ranking, most stable first: P, R, Q.

---

P.
The following is a DFT calculation (PBE) of KSmAsO after structural relaxation.

Computed properties:
- Total magnetization: 0.01 μB/cell

a b c (Å): 5.968 5.968 5.213
angles (deg): 90.00 90.00 90.00
Space group P4/nmm (No. 129, origin choice 2)
Inequivalent atoms, fractional coordinates:
K (0.250, 0.250, 0.001) [2 per cell]
Sm (0.250, 0.750, 0.500) [2 per cell]
As (0.250, 0.250, 0.501) [2 per cell]
O (0.250, 0.750, 0.000) [2 per cell]

---

Q.
The following is a DFT calculation (PBE) of KSmAsO after structural relaxation.

Computed properties:
- Total magnetization: 0.01 μB/cell

a b c (Å): 4.104 4.104 10.957
angles (deg): 90.00 90.00 90.00
Space group P4/nmm (No. 129, origin choice 2)
Inequivalent atoms, fractional coordinates:
K (0.250, 0.750, 0.000) [2 per cell]
Sm (0.250, 0.250, 0.400) [2 per cell]
As (0.250, 0.250, 0.773) [2 per cell]
O (0.250, 0.750, 0.500) [2 per cell]

---

R.
The following is a DFT calculation (PBE) of KSmAsO after structural relaxation.

Computed properties:
- Total magnetization: 0.00 μB/cell

a b c (Å): 4.541 6.666 5.901
angles (deg): 90.00 90.00 90.00
Space group Pmc2_1 (No. 26)
Inequivalent atoms, fractional coordinates:
K (0.000, 0.100, 0.000) [2 per cell]
Sm (0.500, 0.255, 0.503) [2 per cell]
As (0.000, 0.490, 0.270) [2 per cell]
O (0.500, 0.000, 0.253) [2 per cell]

---

S.
The following is a DFT calculation (PBE) of KSmAsO after structural relaxation.

Computed properties:
- Total magnetization: 0.00 μB/cell

a b c (Å): 3.535 7.974 7.812
angles (deg): 90.00 90.00 90.00
Space group Pmc2_1 (No. 26)
Inequivalent atoms, fractional coordinates:
K (0.000, 0.049, 0.000) [2 per cell]
Sm (0.500, 0.364, 0.354) [2 per cell]
As (0.500, 0.291, 0.723) [2 per cell]
O (0.000, 0.229, 0.280) [2 per cell]

---

Quick ranking, most stable first: R, S, Q, P.

---

P.
The following is a DFT calculation (PBE) of KTaAsO after structural relaxation.

Computed properties:
- Total magnetization: 0.01 μB/cell

a b c (Å): 3.561 7.956 5.988
angles (deg): 90.00 90.00 90.00
Space group Pmc2_1 (No. 26)
Inequivalent atoms, fractional coordinates:
K (0.000, 0.113, 0.000) [2 per cell]
Ta (0.500, 0.500, 0.239) [2 per cell]
As (0.000, 0.317, 0.492) [2 per cell]
O (0.500, 0.330, 0.989) [2 per cell]

---

Q.
The following is a DFT calculation (PBE) of KTaAsO after structural relaxation.

Computed properties:
- Total magnetization: 0.00 μB/cell

a b c (Å): 4.124 4.124 10.820
angles (deg): 90.00 90.00 90.00
Space group P4/nmm (No. 129, origin choice 2)
Inequivalent atoms, fractional coordinates:
K (0.250, 0.250, 0.143) [2 per cell]
Ta (0.250, 0.750, 0.500) [2 per cell]
As (0.250, 0.250, 0.648) [2 per cell]
O (0.250, 0.750, 0.000) [2 per cell]

---

Quick ranking, most stable first: P, Q.